Entry from Alexandria: an optimized crystal structure of AcTbNd6Ho2 (PBE-GGA).

abc: 9.784 9.054 9.056
angles: 117.29 93.10 93.14
Sites, in units of the cell vectors:
1 Nd 0.817 0.446 0.991
2 Nd 0.946 0.880 0.246
3 Nd 0.682 0.009 0.554
4 Nd 0.118 0.708 0.489
5 Nd 0.183 0.554 0.009
6 Nd 0.618 0.489 0.708
7 Nd 0.054 0.120 0.754
8 Nd 0.446 0.246 0.880
9 Nd 0.882 0.292 0.511
10 Nd 0.382 0.511 0.292
11 Nd 0.554 0.754 0.120
12 Nd 0.318 0.991 0.446
13 Ho 0.452 0.796 0.689
14 Ho 0.548 0.204 0.311
15 Ho 0.952 0.689 0.796
16 Ho 0.048 0.311 0.204
17 Ac 0.750 0.029 0.971
18 Ac 0.250 0.971 0.029
19 Tb 0.750 0.588 0.412
20 Tb 0.250 0.412 0.588

D(E_F): 14.42 states/eV/f.u.
ΔE_f: 0.1191 eV per atom


Entry from Alexandria: an optimized crystal structure of AcTbNd4Ho2 (PBE-GGA).

abc: 5.206 5.166 11.576
angles: 63.46 90.00 90.00
Sites, in units of the cell vectors:
1 Ho 0.500 0.000 0.500
2 Ho 0.000 0.000 0.000
3 Nd 0.000 0.757 0.743
4 Nd 0.000 0.243 0.257
5 Nd 0.500 0.258 0.742
6 Nd 0.500 0.742 0.258
7 Ac 0.500 0.500 0.000
8 Tb 0.000 0.500 0.500

D(E_F): 11.89 states/eV/f.u.
ΔE_f: 0.0292 eV per atom


Entry from Alexandria: an optimized crystal structure of AcTbNdHo2 (PBE-GGA).

abc: 6.524 6.459 9.325
angles: 110.26 90.00 90.00
Sites, in units of the cell vectors:
1 Ac 0.750 0.342 0.683
2 Ac 0.250 0.658 0.317
3 Ho 0.500 0.251 0.000
4 Ho 0.000 0.749 0.000
5 Ho 0.000 0.251 0.000
6 Ho 0.500 0.749 0.000
7 Nd 0.750 0.153 0.305
8 Nd 0.250 0.847 0.695
9 Tb 0.750 0.729 0.459
10 Tb 0.250 0.271 0.541

D(E_F): 7.91 states/eV/f.u.
ΔE_f: 0.3774 eV per atom